1.
A plane-wave DFT calculation with PBE was carried out for an optimized crystal structure of BiPd4Pt.

Computed properties:
- excess energy over the best structure of this formula in the dataset (meV per atom) = 58.0
- energy of formation from the pure elements (kJ per mole of atoms) = -11
- calculated volume (Å³ per cell) = 208
- uncorrected energy (eV per atom) = -5.23

Unit cell a=5.399 b=5.590 c=6.958 alpha=90.00 beta=97.73 gamma=90.00
Space group P2_1/m (No. 11)
Unique sites:
Bi (0.222, 0.250, 0.158) x2
Pd (0.182, 0.750, 0.138) x2
Pd (0.307, 0.003, 0.804) x4
Pd (0.489, 0.750, 0.487) x2
Pt (0.002, 0.250, 0.502) x2

2.
A plane-wave DFT calculation with PBE was carried out for an optimized crystal structure of BiPdPt3.

Computed properties:
- excess energy over the best structure of this formula in the dataset (meV per atom) = 0.0
- energy of formation from the pure elements (kJ per mole of atoms) = 94
- calculated volume (Å³ per cell) = 115
- uncorrected energy (eV per atom) = -4.47

Unit cell a=4.863 b=4.863 c=4.863 alpha=90.00 beta=90.00 gamma=90.00
Space group Pm-3m (No. 221)
Unique sites:
Bi (0.000, 0.000, 0.000) x1
Pd (0.500, 0.500, 0.500) x1
Pt (0.000, 0.500, 0.500) x3